A relaxed Tb2Dy5In crystal, computed with GGA-PBE.

Values from the calculation:
magnetic moment: 0.00 μB per formula unit
DOS(E_F): 20.62 states/eV per cell
ΔH_f (0 K): -0.11 eV per atom
symmetry: No. 139

Lattice parameters (Å, degrees): 4.897 4.897 20.103 90.00 90.00 90.00
Fractional positions:
Tb1 0.000 0.000 0.246
Tb2 0.000 0.000 0.754
Tb3 0.500 0.500 0.254
Tb4 0.500 0.500 0.746
Dy1 0.000 0.000 0.000
Dy2 0.000 0.500 0.122
Dy3 0.000 0.500 0.378
Dy4 0.000 0.500 0.622
Dy5 0.000 0.500 0.878
Dy6 0.500 0.000 0.122
Dy7 0.500 0.000 0.378
Dy8 0.500 0.000 0.622
Dy9 0.500 0.000 0.878
Dy10 0.500 0.500 0.500
In1 0.000 0.000 0.500
In2 0.500 0.500 0.000